This record from Alexandria via LeMat-Bulk describes a crystal of Zr2AlCo relaxed with PBEsol. The functional is SCAN.

Values from the calculation:
Spin magnetization in Bohr magnetons per cell: 1.418
Symmetry: P4/mmm (123)
Formation energy from the elements in eV/atom: -0.371

extended XYZ file:
```
4
Lattice="3.0150 0.0000 0.0000 0.0000 3.0150 0.0000 0.0000 0.0000 7.5213" Properties=species:S:1:pos:R:3 pbc="T T T"
Zr 0.0000 0.0000 1.6739
Zr 0.0000 0.0000 5.8474
Al 1.5075 1.5075 3.7607
Co 1.5075 1.5075 0.0000
```

---

This record from Alexandria via LeMat-Bulk describes a crystal of ZrAlCo2 relaxed with PBEsol. The functional is SCAN.

Values from the calculation:
Spin magnetization in Bohr magnetons per cell: 0.004
Symmetry: P4/mmm (123)
Formation energy from the elements in eV/atom: -0.337

extended XYZ file:
```
4
Lattice="3.0568 0.0000 0.0000 0.0000 3.0568 0.0000 0.0000 0.0000 5.7742" Properties=species:S:1:pos:R:3 pbc="T T T"
Zr 0.0000 0.0000 0.0000
Al 0.0000 0.0000 2.8871
Co 1.5284 1.5284 1.5363
Co 1.5284 1.5284 4.2379
```

---

This record from Alexandria via LeMat-Bulk describes a crystal of ZrAlCo2 relaxed with PBEsol. The functional is SCAN.

Values from the calculation:
Spin magnetization in Bohr magnetons per cell: 0.000
Symmetry: I-4m2 (119)
Formation energy from the elements in eV/atom: -0.207

extended XYZ file:
```
4
Lattice="-1.7841 1.7841 4.2591 1.7841 -1.7841 4.2591 1.7841 1.7841 -4.2591" Properties=species:S:1:pos:R:3 pbc="T T T"
Zr 0.0000 0.0000 0.0000
Al 0.0000 1.7841 2.1296
Co 1.7841 0.0000 2.1296
Co 0.0000 0.0000 4.2591
```

---

This record from Alexandria via LeMat-Bulk describes a crystal of Al17Cr12 relaxed with PBEsol. The functional is SCAN.

Values from the calculation:
Spin magnetization in Bohr magnetons per cell: 0.000
Symmetry: I-43m (217)
Formation energy from the elements in eV/atom: -0.046

extended XYZ file:
```
29
Lattice="-4.6190 4.6190 4.6190 4.6190 -4.6190 4.6190 4.6190 4.6190 -4.6190" Properties=species:S:1:pos:R:3 pbc="T T T"
Al 0.0000 0.0000 0.0000
Al 3.0025 3.0025 -3.0025
Al 4.9633 1.3144 -1.3144
Al 3.0025 -3.0025 3.0025
Al 4.9633 -1.3144 1.3144
Al 4.2747 1.3144 1.3144
Al 3.3046 3.3046 -0.3443
Al 3.3046 -0.3443 3.3046
Al 1.6165 1.6165 1.6165
Al 1.3144 4.9633 -1.3144
Al 1.3144 -1.3144 4.9633
Al 1.3144 4.2747 1.3144
Al 1.3144 1.3144 4.2747
Al -3.0025 3.0025 3.0025
Al -1.3144 4.9633 1.3144
Al -1.3144 1.3144 4.9633
Al -0.3443 3.3046 3.3046
Cr 2.4646 0.7716 -0.7716
Cr 2.4646 -0.7716 0.7716
Cr 6.7734 0.7716 0.7716
Cr 0.7716 2.4646 -0.7716
Cr 0.7716 -0.7716 2.4646
Cr -0.7716 2.4646 0.7716
Cr -0.7716 0.7716 2.4646
Cr 3.8474 3.8474 2.1544
Cr 3.8474 2.1544 3.8474
Cr 0.7716 6.7734 0.7716
Cr 0.7716 0.7716 6.7734
Cr 2.1544 3.8474 3.8474
```

---

This record from Alexandria via LeMat-Bulk describes a crystal of Al45Cr7 relaxed with PBEsol. The functional is SCAN.

Values from the calculation:
Spin magnetization in Bohr magnetons per cell: 0.003
Symmetry: C2/m (12)
Formation energy from the elements in eV/atom: -0.117

extended XYZ file:
```
52
Lattice="10.2182 -3.7525 0.0000 10.2182 3.7525 0.0000 -3.2440 0.0000 10.3612" Properties=species:S:1:pos:R:3 pbc="T T T"
Al 0.0000 0.0000 0.0000
Al 2.1630 1.4081 6.5759
Al -0.3831 0.0000 2.6527
Al 4.7479 2.3058 6.6907
Al 7.1554 2.3788 5.2794
Al -0.0167 0.0000 7.5606
Al 3.4838 1.3957 9.1292
Al 2.1436 0.0000 1.3829
Al 6.0389 1.3998 1.5049
Al 1.0458 0.0000 10.2115
Al 10.0371 2.3788 5.0818
Al 6.4385 1.4749 9.0995
Al 3.9871 0.0000 5.2693
Al 8.5282 1.4106 3.0510
Al 8.6643 1.4106 7.3101
Al 10.7540 1.4749 1.2617
Al 12.4446 2.3058 3.6704
Al 6.3357 0.0000 4.0152
Al 2.1630 -1.4081 6.5759
Al 6.2492 0.0000 6.8023
Al 8.3812 0.0000 0.6227
Al 11.1536 1.3998 8.8563
Al 3.4838 -1.3957 9.1292
Al 13.7088 1.3957 1.2319
Al 6.0389 -1.3998 1.5049
Al 8.8114 0.0000 9.7384
Al 10.9433 0.0000 3.5589
Al 15.0295 1.4081 3.7853
Al 10.8568 0.0000 6.3459
Al 4.7479 -2.3058 6.6907
Al 6.4385 -1.4749 9.0995
Al 8.5282 -1.4106 3.0510
Al 8.6643 -1.4106 7.3101
Al 13.2055 0.0000 5.0919
Al 10.7540 -1.4749 1.2617
Al 7.1554 -2.3788 5.2794
Al 16.1467 0.0000 0.1497
Al 11.1536 -1.3998 8.8563
Al 15.0489 0.0000 8.9783
Al 13.7088 -1.3957 1.2319
Al 17.2092 0.0000 2.8006
Al 10.0371 -2.3788 5.0818
Al 12.4446 -2.3058 3.6704
Al 17.5757 0.0000 7.7084
Al 15.0295 -1.4081 3.7853
Cr 8.2124 2.4487 0.8515
Cr 4.2559 0.0000 2.7068
Cr 8.9802 2.4487 9.5097
Cr 8.5963 0.0000 5.1806
Cr 8.2124 -2.4487 0.8515
Cr 12.9366 0.0000 7.6544
Cr 8.9802 -2.4487 9.5097
```

---

This record from Alexandria via LeMat-Bulk describes a crystal of Al4Cr3 relaxed with PBEsol. The functional is SCAN.

Values from the calculation:
Spin magnetization in Bohr magnetons per cell: 1.986
Symmetry: I4/mmm (139)
Formation energy from the elements in eV/atom: -0.183

extended XYZ file:
```
7
Lattice="-1.4951 1.4951 10.3400 1.4951 -1.4951 10.3400 1.4951 1.4951 -10.3400" Properties=species:S:1:pos:R:3 pbc="T T T"
Al 0.0000 0.0000 1.4246
Al 0.0000 0.0000 7.2135
Al 0.0000 0.0000 13.4665
Al 0.0000 0.0000 19.2554
Cr 0.0000 0.0000 4.5743
Cr 0.0000 0.0000 10.3400
Cr 0.0000 0.0000 16.1057
```

---

This record from Alexandria via LeMat-Bulk describes a crystal of Al5Cr relaxed with PBEsol. The functional is SCAN.

Values from the calculation:
Spin magnetization in Bohr magnetons per cell: 2.383
Symmetry: Amm2 (38)
Formation energy from the elements in eV/atom: -0.041

extended XYZ file:
```
6
Lattice="4.4790 0.0000 0.0000 0.0000 1.3850 7.0916 0.0000 -1.3850 7.0916" Properties=species:S:1:pos:R:3 pbc="T T T"
Al 0.0000 0.0000 0.0000
Al 0.0000 0.0000 4.4837
Al 2.2395 0.0000 1.4866
Al 2.2395 0.0000 6.1262
Al 2.2395 0.0000 10.8339
Cr 0.0000 0.0000 9.3595
```

---

This record from Alexandria via LeMat-Bulk describes a crystal of Al5Cr relaxed with PBEsol. The functional is SCAN.

Values from the calculation:
Spin magnetization in Bohr magnetons per cell: 1.834
Symmetry: Cm (8)
Formation energy from the elements in eV/atom: -0.075

extended XYZ file:
```
6
Lattice="4.9627 -1.4698 0.0000 4.9627 1.4698 0.0000 -1.5772 0.0000 6.1173" Properties=species:S:1:pos:R:3 pbc="T T T"
Al 0.0000 0.0000 0.0000
Al -0.4721 0.0000 3.4808
Al 2.1162 0.0000 3.9033
Al 3.2228 0.0000 1.5451
Al 5.5764 0.0000 5.6236
Cr 5.9957 0.0000 1.8881
```

---

This record from Alexandria via LeMat-Bulk describes a crystal of AlCr4 relaxed with PBEsol. The functional is SCAN.

Values from the calculation:
Spin magnetization in Bohr magnetons per cell: 0.002
Symmetry: I4/m (87)
Formation energy from the elements in eV/atom: -0.078

extended XYZ file:
```
5
Lattice="-3.1909 3.1909 1.4274 3.1909 -3.1909 1.4274 3.1909 3.1909 -1.4274" Properties=species:S:1:pos:R:3 pbc="T T T"
Al 0.0000 0.0000 0.0000
Cr 2.4798 1.1964 0.0000
Cr 1.9944 -0.7111 1.4274
Cr 1.1964 3.9020 0.0000
Cr 0.7111 1.9944 1.4274
```

---

This record from Alexandria via LeMat-Bulk describes a crystal of Al8Cr relaxed with PBEsol. The functional is SCAN.

Values from the calculation:
Spin magnetization in Bohr magnetons per cell: 2.986
Symmetry: I4/mmm (139)
Formation energy from the elements in eV/atom: -0.066

extended XYZ file:
```
9
Lattice="-4.2157 4.2157 1.9572 4.2157 -4.2157 1.9572 4.2157 4.2157 -1.9572" Properties=species:S:1:pos:R:3 pbc="T T T"
Al 2.7463 0.0000 0.0000
Al 5.6852 0.0000 0.0000
Al 0.0000 2.7463 0.0000
Al 2.8691 2.8691 0.0000
Al 1.3466 -1.3466 1.9572
Al -1.3466 1.3466 1.9572
Al 1.3466 1.3466 1.9572
Al 0.0000 5.6852 0.0000
Cr 0.0000 0.0000 0.0000
```

---

This record from Alexandria via LeMat-Bulk describes a crystal of AlCrCu2 relaxed with PBEsol. The functional is SCAN.

Values from the calculation:
Spin magnetization in Bohr magnetons per cell: 3.212
Symmetry: I-4m2 (119)
Formation energy from the elements in eV/atom: -0.100

extended XYZ file:
```
4
Lattice="-2.0561 2.0561 2.9289 2.0561 -2.0561 2.9289 2.0561 2.0561 -2.9289" Properties=species:S:1:pos:R:3 pbc="T T T"
Al 0.0000 0.0000 0.0000
Cr 0.0000 2.0561 1.4644
Cu 2.0561 0.0000 1.4644
Cu 0.0000 0.0000 2.9289
```

---

This record from Alexandria via LeMat-Bulk describes a crystal of AlCrCu2 relaxed with PBEsol. The functional is SCAN.

Values from the calculation:
Spin magnetization in Bohr magnetons per cell: 0.007
Symmetry: R-3m (166)
Formation energy from the elements in eV/atom: 0.167

extended XYZ file:
```
4
Lattice="1.2843 0.7415 8.4522 -1.2843 0.7415 8.4522 0.0000 -1.4830 8.4522" Properties=species:S:1:pos:R:3 pbc="T T T"
Al 0.0000 0.0000 0.0000
Cr 0.0000 0.0000 12.6784
Cu 0.0000 0.0000 6.3406
Cu 0.0000 0.0000 19.0162
```

---

This record from Alexandria via LeMat-Bulk describes a crystal of Al2CrCu relaxed with PBEsol. The functional is SCAN.

Values from the calculation:
Spin magnetization in Bohr magnetons per cell: 0.668
Symmetry: Cm (8)
Formation energy from the elements in eV/atom: -0.112

extended XYZ file:
```
4
Lattice="4.6506 -1.3559 0.0000 4.6506 1.3559 0.0000 -1.4902 0.0000 4.0957" Properties=species:S:1:pos:R:3 pbc="T T T"
Al 0.0000 0.0000 0.0000
Al 1.2459 0.0000 2.5510
Cr 3.7957 0.0000 2.0350
Cu 6.7564 0.0000 0.5347
```

---

This record from Alexandria via LeMat-Bulk describes a crystal of Al2CrCu relaxed with PBEsol. The functional is SCAN.

Values from the calculation:
Spin magnetization in Bohr magnetons per cell: 2.575
Symmetry: P4/mmm (123)
Formation energy from the elements in eV/atom: -0.239

extended XYZ file:
```
4
Lattice="4.2549 0.0000 0.0000 0.0000 4.2549 0.0000 0.0000 0.0000 2.8154" Properties=species:S:1:pos:R:3 pbc="T T T"
Al 0.0000 2.1275 0.0000
Al 2.1275 0.0000 0.0000
Cr 0.0000 0.0000 1.4077
Cu 2.1275 2.1275 1.4077
```

---

This record from Alexandria via LeMat-Bulk describes a crystal of Al2CrCu relaxed with PBEsol. The functional is SCAN.

Values from the calculation:
Spin magnetization in Bohr magnetons per cell: 0.002
Symmetry: R-3m (166)
Formation energy from the elements in eV/atom: -0.021

extended XYZ file:
```
4
Lattice="1.3407 0.7740 8.3740 -1.3407 0.7740 8.3740 0.0000 -1.5481 8.3740" Properties=species:S:1:pos:R:3 pbc="T T T"
Al 0.0000 0.0000 6.2884
Al 0.0000 0.0000 18.8334
Cr 0.0000 0.0000 0.0000
Cu 0.0000 0.0000 12.5609
```

---

This record from Alexandria via LeMat-Bulk describes a crystal of Al2CrCu relaxed with PBEsol. The functional is SCAN.

Values from the calculation:
Spin magnetization in Bohr magnetons per cell: 2.345
Symmetry: Imm2 (44)
Formation energy from the elements in eV/atom: -0.211

extended XYZ file:
```
4
Lattice="-1.5717 1.9766 4.2367 1.5717 -1.9766 4.2367 1.5717 1.9766 -4.2367" Properties=species:S:1:pos:R:3 pbc="T T T"
Al 0.0000 0.0000 0.0000
Al 0.0000 1.9766 1.9788
Cr 0.0000 0.0000 4.0941
Cu 1.5717 0.0000 2.0126
```

---

This record from Alexandria via LeMat-Bulk describes a crystal of Al2CrCu relaxed with PBEsol. The functional is SCAN.

Values from the calculation:
Spin magnetization in Bohr magnetons per cell: 2.399
Symmetry: Cmmm (65)
Formation energy from the elements in eV/atom: -0.209

extended XYZ file:
```
4
Lattice="2.7799 -3.4116 0.0000 2.7799 3.4116 0.0000 0.0000 0.0000 2.7051" Properties=species:S:1:pos:R:3 pbc="T T T"
Al 1.3899 1.7058 0.0000
Al 1.3899 -1.7058 0.0000
Cr 0.0000 0.0000 1.3526
Cu 2.7799 0.0000 1.3526
```

---

This record from Alexandria via LeMat-Bulk describes a crystal of Al2CrCu relaxed with PBEsol. The functional is SCAN.

Values from the calculation:
Spin magnetization in Bohr magnetons per cell: 0.003
Symmetry: C2/m (12)
Formation energy from the elements in eV/atom: 0.010

extended XYZ file:
```
4
Lattice="4.2132 -1.3161 0.0000 4.2132 1.3161 0.0000 -0.9402 0.0000 4.6938" Properties=species:S:1:pos:R:3 pbc="T T T"
Al 1.8345 0.0000 1.1927
Al 5.6518 0.0000 3.5011
Cr -0.4701 0.0000 2.3469
Cu 4.2132 0.0000 0.0000
```

---

This record from Alexandria via LeMat-Bulk describes a crystal of Al4CrCu relaxed with PBEsol. The functional is SCAN.

Values from the calculation:
Spin magnetization in Bohr magnetons per cell: 3.099
Symmetry: F-43m (216)
Formation energy from the elements in eV/atom: 0.190

extended XYZ file:
```
6
Lattice="0.0000 3.5729 3.5729 3.5729 0.0000 3.5729 3.5729 3.5729 0.0000" Properties=species:S:1:pos:R:3 pbc="T T T"
Al 2.6834 2.6834 2.6834
Al 4.4625 4.4625 2.6834
Al 4.4625 2.6834 4.4625
Al 2.6834 4.4625 4.4625
Cr 5.3594 5.3594 5.3594
Cu 0.0000 0.0000 0.0000
```